Entry 1:
Entry from Alexandria via LeMat-Bulk: a relaxed NaCaPS4 crystal (GGA-PBE).

Results
Formation energy (no corrections) ... -1.056 eV per atom

a = 6.504 Å, b = 6.601 Å, c = 8.070 Å
α = 90.00°, β = 105.12°, γ = 90.00°
Space group P2_1/m (No. 11)
Asymmetric unit:
Na: 0.220 0.250 0.048 [2 per cell]
Ca: 0.232 0.250 0.552 [2 per cell]
P: 0.225 0.750 0.308 [2 per cell]
S: 0.020 0.505 0.261 [4 per cell]
S: 0.387 0.750 0.562 [2 per cell]
S: 0.421 0.750 0.148 [2 per cell]


Entry 2:
Entry from Alexandria via LeMat-Bulk: a relaxed NaCaP2S crystal (GGA-PBE).

Results
Formation energy (no corrections) ... 0.382 eV per atom

a = 4.854 Å, b = 4.854 Å, c = 4.985 Å
α = 90.00°, β = 90.00°, γ = 90.00°
Space group P4/mmm (No. 123)
Asymmetric unit:
Na: 0.000 0.000 0.000 [1 per cell]
Ca: 0.500 0.500 0.500 [1 per cell]
P: 0.000 0.500 0.000 [2 per cell]
S: 0.000 0.000 0.500 [1 per cell]


Entry 3:
Entry from Alexandria via LeMat-Bulk: a relaxed Na2CaPSe crystal (GGA-PBE).

Results
Formation energy (no corrections) ... 0.368 eV per atom

a = 6.432 Å, b = 6.432 Å, c = 5.129 Å
α = 90.00°, β = 90.00°, γ = 90.00°
Space group P4/mmm (No. 123)
Asymmetric unit:
Na: 0.000 0.500 0.000 [2 per cell]
Ca: 0.000 0.000 0.000 [1 per cell]
P: 0.500 0.500 0.500 [1 per cell]
Se: 0.000 0.000 0.500 [1 per cell]


Entry 4:
Entry from Alexandria via LeMat-Bulk: a relaxed NaCa2SnP crystal (GGA-PBE).

Results
Energy of formation from the pure elements ... 0.128 eV/atom

a = 5.977 Å, b = 5.977 Å, c = 5.288 Å
α = 90.00°, β = 90.00°, γ = 90.00°
Space group P4/mmm (No. 123)
Asymmetric unit:
Na: 0.000 0.000 0.000 [1 per cell]
Ca: 0.000 0.500 0.500 [2 per cell]
Sn: 0.500 0.500 0.500 [1 per cell]
P: 0.500 0.500 0.000 [1 per cell]


Entry 5:
Entry from Alexandria via LeMat-Bulk: a relaxed NaSrCa2P crystal (GGA-PBE).

Results
Energy of formation from the pure elements ... -0.486 eV/atom

a = 5.646 Å, b = 5.646 Å, c = 6.018 Å
α = 90.00°, β = 90.00°, γ = 90.00°
Space group P4/mmm (No. 123)
Asymmetric unit:
Na: 0.000 0.000 0.000 [1 per cell]
Sr: 0.500 0.500 0.000 [1 per cell]
Ca: 0.000 0.500 0.500 [2 per cell]
P: 0.500 0.500 0.500 [1 per cell]


Entry 6:
Entry from Alexandria via LeMat-Bulk: a relaxed NaCaTi2P crystal (GGA-PBE).

Results
Energy of formation from the pure elements ... 1.699 eV/atom

a = 4.794 Å, b = 4.794 Å, c = 4.819 Å
α = 90.00°, β = 90.00°, γ = 90.00°
Space group P4/mmm (No. 123)
Asymmetric unit:
Na: 0.000 0.000 0.000 [1 per cell]
Ca: 0.000 0.000 0.500 [1 per cell]
Ti: 0.000 0.500 0.500 [2 per cell]
P: 0.500 0.500 0.000 [1 per cell]


Entry 7:
Entry from Alexandria via LeMat-Bulk: a relaxed NaCa2TlP crystal (GGA-PBE).

Results
Energy of formation from the pure elements ... -0.451 eV/atom

a = 5.495 Å, b = 5.495 Å, c = 5.414 Å
α = 90.00°, β = 90.00°, γ = 90.00°
Space group P4/mmm (No. 123)
Asymmetric unit:
Na: 0.000 0.000 0.000 [1 per cell]
Ca: 0.000 0.500 0.500 [2 per cell]
Tl: 0.500 0.500 0.000 [1 per cell]
P: 0.000 0.000 0.500 [1 per cell]


Entry 8:
Entry from Alexandria via LeMat-Bulk: a relaxed NaCa2PaS4 crystal (GGA-PBE).

Results
Formation energy (no corrections) ... -1.753 eV per atom

a = 6.966 Å, b = 3.956 Å, c = 6.993 Å
α = 90.00°, β = 108.54°, γ = 90.00°
Space group P2/m (No. 10)
Asymmetric unit:
Na: 0.000 0.000 0.000 [1 per cell]
Ca: 0.500 0.000 0.500 [1 per cell]
Ca: 0.500 0.500 0.000 [1 per cell]
Pa: 0.000 0.500 0.500 [1 per cell]
S: 0.248 0.000 0.745 [2 per cell]
S: 0.248 0.500 0.263 [2 per cell]


Entry 9:
Entry from Alexandria via LeMat-Bulk: a relaxed Na2Ca3PaS6 crystal (GGA-PBE).

Results
Formation energy (no corrections) ... -1.803 eV per atom

a = 7.030 Å, b = 12.147 Å, c = 6.976 Å
α = 90.00°, β = 109.68°, γ = 90.00°
Space group C2/m (No. 12)
Asymmetric unit:
Na: 0.000 0.166 0.000 [4 per cell]
Ca: 0.000 0.000 0.500 [2 per cell]
Ca: 0.000 0.330 0.500 [4 per cell]
Pa: 0.000 0.500 0.000 [2 per cell]
S: 0.232 0.500 0.753 [4 per cell]
S: 0.242 0.342 0.252 [8 per cell]


Entry 10:
Entry from Alexandria via LeMat-Bulk: a relaxed NaCaPaS4 crystal (GGA-PBE).

Results
Formation energy (no corrections) ... -1.681 eV per atom

a = 8.201 Å, b = 8.301 Å, c = 11.512 Å
α = 90.00°, β = 90.00°, γ = 90.00°
Space group Imma (No. 74)
Asymmetric unit:
Na: 0.000 0.250 0.138 [4 per cell]
Ca: 0.250 0.250 0.750 [4 per cell]
Pa: 0.000 0.000 0.500 [4 per cell]
S: 0.000 0.019 0.724 [8 per cell]
S: 0.212 0.250 0.501 [8 per cell]


Entry 11:
Entry from Alexandria via LeMat-Bulk: a relaxed Na3Ca2PaSe6 crystal (GGA-PBE).

Results
Formation energy (no corrections) ... -1.573 eV per atom

a = 7.300 Å, b = 12.645 Å, c = 7.356 Å
α = 90.00°, β = 109.45°, γ = 90.00°
Space group C2/m (No. 12)
Asymmetric unit:
Na: 0.000 0.000 0.000 [2 per cell]
Na: 0.000 0.330 0.000 [4 per cell]
Ca: 0.000 0.167 0.500 [4 per cell]
Pa: 0.000 0.500 0.500 [2 per cell]
Se: 0.235 0.342 0.731 [8 per cell]
Se: 0.239 0.500 0.272 [4 per cell]


Entry 12:
Entry from Alexandria via LeMat-Bulk: a relaxed Na2CaPaSe4 crystal (GGA-PBE).

Results
Formation energy (no corrections) ... -1.467 eV per atom

a = 5.882 Å, b = 5.882 Å, c = 12.245 Å
α = 90.00°, β = 90.00°, γ = 90.00°
Space group I-4m2 (No. 119)
Asymmetric unit:
Na: 0.000 0.000 0.000 [2 per cell]
Na: 0.000 0.500 0.250 [2 per cell]
Ca: 0.000 0.500 0.750 [2 per cell]
Pa: 0.000 0.000 0.500 [2 per cell]
Se: 0.000 0.000 0.271 [4 per cell]
Se: 0.000 0.500 0.507 [4 per cell]


| no. | DOS(E_F) (states/eV/cell) |
| --- | --- |
| 1 | 0.0 |
| 2 | 5.2 |
| 3 | 3.4 |
| 4 | 4.7 |
| 5 | 4.4 |
| 6 | 6.5 |
| 7 | 3.3 |
| 8 | 5.5 |
| 9 | 3.9 |
| 10 | 0.0 |
| 11 | 0.0 |
| 12 | 11.9 |